Entry 1:
## LiY2Tc (PBE)

Data for a relaxed structure of LiY2Tc.

* calculated formation energy: 247.0 meV/atom
* total energy: -6.0549 eV/atom

Lattice parameters (Å, degrees): 8.014 3.398 7.571 90.00 97.67 90.00
Space group C2/m (No. 12)
Asymmetric unit:
Li: 0.000 0.000 0.000 (multiplicity 2)
Y: 0.233 0.000 0.702 (multiplicity 4)
Tc: 0.000 0.500 0.500 (multiplicity 2)

Entry 2:
## K2Ta2AgO7 (PBE)

Data for a relaxed structure of K2Ta2AgO7.

* formation energy from raw total energies: -2.100 eV/atom
* total energy: -7.3880 eV/atom

Lattice parameters (Å, degrees): 4.002 4.002 22.072 90.00 90.00 90.00
Space group I4/mmm (No. 139)
Asymmetric unit:
K: 0.000 0.000 0.193 (multiplicity 4)
Ta: 0.000 0.000 0.404 (multiplicity 4)
Ag: 0.000 0.000 0.000 (multiplicity 2)
O: 0.000 0.000 0.319 (multiplicity 4)
O: 0.000 0.000 0.500 (multiplicity 2)
O: 0.000 0.500 0.090 (multiplicity 8)

Entry 3:
## SrScFe2 (PBE)

Data for a relaxed structure of SrScFe2.

* calculated formation energy: 695.6 meV/atom
* total energy: -5.5391 eV/atom

Lattice parameters (Å, degrees): 4.886 4.886 6.500 90.00 90.00 90.00
Space group I-4m2 (No. 119)
Asymmetric unit:
Sr: 0.000 0.000 0.000 (multiplicity 2)
Sc: 0.000 0.500 0.750 (multiplicity 2)
Fe: 0.000 0.000 0.500 (multiplicity 2)
Fe: 0.000 0.500 0.250 (multiplicity 2)

Entry 4:
## Tb4InPdRu2 (PBE)

Data for a relaxed structure of Tb4InPdRu2.

* calculated formation energy: -463.2 meV/atom
* total energy: -6.0887 eV/atom

Lattice parameters (Å, degrees): 4.9916 4.9916 24.4893 90.00 90.00 120.00
Space group R-3m (No. 166, hexagonal axes)
Asymmetric unit:
Tb: 0.0000 0.0000 0.1197 (multiplicity 6)
Tb: 0.0000 0.0000 0.3709 (multiplicity 6)
In: 0.0000 0.0000 0.5000 (multiplicity 3)
Pd: 0.0000 0.0000 0.0000 (multiplicity 3)
Ru: 0.0000 0.0000 0.2483 (multiplicity 6)

Entry 5:
## Sr3Re (PBE)

Data for a relaxed structure of Sr3Re.

* calculated formation energy: 1034.4 meV/atom
* total energy: -3.3390 eV/atom
* ΔE to the lowest computed polymorph: 289 meV/atom

Lattice parameters (Å, degrees): 6.452 6.452 6.452 90.00 90.00 90.00
Space group Pm-3n (No. 223)
Asymmetric unit:
Sr: 0.000 0.250 0.500 (multiplicity 6)
Re: 0.000 0.000 0.000 (multiplicity 2)

Entry 6:
## Pm3H12Ir5 (PBE)

Data for a relaxed structure of Pm3H12Ir5.

* total energy: -5.1335 eV/atom

Lattice parameters (Å, degrees): 11.843 11.843 11.843 90.00 90.00 90.00
Space group Ia-3d (No. 230)
Asymmetric unit:
Pm: 0.000 0.250 0.125 (multiplicity 24)
H: 0.041 0.049 0.637 (multiplicity 96)
Ir: 0.000 0.000 0.000 (multiplicity 16)
Ir: 0.000 0.250 0.375 (multiplicity 24)

Entry 7:
## Pr3GeI2 (PBE)

Data for a relaxed structure of Pr3GeI2.

* formation energy from raw total energies: -0.690 eV/atom
* total energy: -4.3658 eV/atom

Lattice parameters (Å, degrees): 13.466 10.658 6.174 90.00 90.00 90.00
Space group Cmcm (No. 63)
Asymmetric unit:
Pr: 0.000 0.132 0.250 (multiplicity 4)
Pr: 0.171 0.308 0.750 (multiplicity 8)
Ge: 0.000 0.144 0.750 (multiplicity 4)
I: 0.147 0.379 0.250 (multiplicity 8)

Entry 8:
## CeYMnGa (PBE)

Data for a relaxed structure of CeYMnGa.

* calculated formation energy: -124.4 meV/atom
* total energy: -6.2730 eV/atom

Lattice parameters (Å, degrees): 7.162 7.162 7.162 90.00 90.00 90.00
Space group F-43m (No. 216)
Asymmetric unit:
Ce: 0.000 0.000 0.000 (multiplicity 4)
Y: 0.000 0.000 0.500 (multiplicity 4)
Mn: 0.250 0.250 0.250 (multiplicity 4)
Ga: 0.250 0.250 0.750 (multiplicity 4)

Entry 9:
## In5SnHg3 (PBE)

Data for a relaxed structure of In5SnHg3.

* calculated formation energy: 26.9 meV/atom
* total energy: -2.0399 eV/atom

Lattice parameters (Å, degrees): 9.2825 9.2825 6.4943 90.00 90.00 120.00
Space group P6_3/mcm (No. 193)
Asymmetric unit:
In: 0.0000 0.3044 0.2500 (multiplicity 6)
In: 0.3333 0.6667 0.0000 (multiplicity 4)
Sn: 0.0000 0.0000 0.0000 (multiplicity 2)
Hg: 0.0000 0.3628 0.7500 (multiplicity 6)

Entry 10:
## MgI2BrN (PBE)

Data for a relaxed structure of MgI2BrN.

* formation energy from raw total energies: 0.950 eV/atom
* total energy: -1.9881 eV/atom
* ΔE to the lowest computed polymorph: 324 meV/atom

Lattice parameters (Å, degrees): 6.379 6.379 3.768 90.00 90.00 90.00
Space group P4/mmm (No. 123)
Asymmetric unit:
Mg: 0.000 0.000 0.000 (multiplicity 1)
I: 0.000 0.500 0.500 (multiplicity 2)
Br: 0.500 0.500 0.500 (multiplicity 1)
N: 0.500 0.500 0.000 (multiplicity 1)

Entry 11:
## SrPuSn4 (PBE)

Data for a relaxed structure of SrPuSn4.

* calculated formation energy: -295.2 meV/atom
* total energy: -5.6327 eV/atom

Lattice parameters (Å, degrees): 8.859 8.859 8.859 90.00 90.00 90.00
Space group F-43m (No. 216)
Asymmetric unit:
Sr: 0.000 0.000 0.000 (multiplicity 4)
Pu: 0.250 0.250 0.750 (multiplicity 4)
Sn: 0.124 0.124 0.376 (multiplicity 16)